Entry 1:
The following is a DFT calculation (PBE-GGA) of crystalline KSm2Th at its relaxed geometry.

- energy (eV per atom) = -4.291
- space group = R-3m
- total magnetization (μB per cell) = 0.0
- ΔH_f (0 K) (eV/atom) = 0.198
- theoretical density (g cm⁻³) = 6.205

Unit cell a=13.4813 b=13.4813 c=13.4813 alpha=15.53 beta=15.53 gamma=15.53
Last column: nearest neighbours and their distance in Å.
Fractional coordinates of all 4 atoms:
K1 0.0000 0.0000 0.0000  6 K 3.64, 2 Sm 3.85
Sm1 0.0963 0.0963 0.0963  3 Th 3.51, 6 Sm 3.64, 1 K 3.85
Sm2 0.9037 0.9037 0.9037  3 Th 3.51, 6 Sm 3.64, 1 K 3.85
Th1 0.5000 0.5000 0.5000  6 Sm 3.51, 6 Th 3.64

Entry 2:
The following is a DFT calculation (PBE-GGA) of crystalline DyY3Th4 at its relaxed geometry.

- energy (eV per atom) = -6.571
- space group = Immm
- total magnetization (μB per cell) = 0.0
- ΔH_f (0 K) (eV/atom) = 0.138
- theoretical density (g cm⁻³) = 8.682

Unit cell a=8.8997 b=8.8997 c=8.8997 alpha=157.71 beta=100.04 gamma=84.28
Last column: nearest neighbours and their distance in Å.
Fractional coordinates of all 8 atoms:
Dy1 0.0000 0.0000 0.0000  4 Th 3.34, 2 Dy 3.44, 4 Y 3.56
Y1 0.2362 0.7362 0.5000  6 Th 3.35-3.63, 2 Y 3.44, 2 Dy 3.56
Y2 0.5000 0.5000 0.0000  2 Y 3.44, 8 Th 3.74
Y3 0.7638 0.2638 0.5000  6 Th 3.35-3.63, 2 Y 3.44, 2 Dy 3.56
Th1 0.1213 0.8702 0.2511  1 Dy 3.34, 5 Y 3.35-3.74, 5 Th 3.43-3.61
Th2 0.3809 0.1298 0.2511  1 Dy 3.34, 5 Y 3.35-3.74, 5 Th 3.43-3.61
Th3 0.6191 0.8702 0.7489  1 Dy 3.34, 5 Y 3.35-3.74, 5 Th 3.43-3.61
Th4 0.8787 0.1298 0.7489  1 Dy 3.34, 5 Y 3.35-3.74, 5 Th 3.43-3.61